No. 1
BaY2Se (meta-GGA SCAN, PBEsol geometry); DOS at the Fermi energy = 3.8 states/eV per cell; final energy = -116.32 eV/f.u.; space group = I-4m2, No. 119
1.0
-2.3425 2.3425 5.2397
2.3425 -2.3425 5.2397
2.3425 2.3425 -5.2397
Ba Y Se
1 2 1
direct
0.0000 0.0000 0.0000
0.2500 0.7500 0.5000
0.5000 0.5000 0.0000
0.7500 0.2500 0.5000



No. 2
BaYSe (meta-GGA SCAN, PBEsol geometry); DOS at the Fermi energy = 2.0 states/eV per cell; final energy = -91.12 eV/f.u.; space group = P3m1, No. 156
1.0
4.0596 0.0000 0.0000
-2.0298 3.5157 0.0000
0.0000 0.0000 7.2487
Ba Y Se
1 1 1
direct
0.0000 0.0000 0.0000
0.6667 0.3333 0.4853
0.3333 0.6667 0.7026



Formation energy from raw total energies? In order: -0.252; -1.215 eV per atom.